Computed, not measured: a relaxed Er2Cu9Sn crystal at the PBE level of DFT.

a = 8.7473 Å, b = 8.7473 Å, c = 8.7473 Å
α = 33.92°, β = 33.92°, γ = 33.92°
Closest atoms and distances in Å follow each position.
Fractional coordinates of all 12 atoms:
1 Er 0.1370 0.1370 0.1370  12 Cu 2.88-3.16
2 Er 0.8630 0.8630 0.8630  12 Cu 2.88-3.16
3 Cu 0.0805 0.5845 0.5845  7 Cu 2.51-2.57
4 Cu 0.3330 0.3330 0.3330  6 Cu 2.51-2.54
5 Cu 0.4155 0.4155 0.9195  7 Cu 2.51-2.57
6 Cu 0.4155 0.9195 0.4155  7 Cu 2.51-2.57
7 Cu 0.5000 0.5000 0.5000  6 Cu 2.54
8 Cu 0.5845 0.0805 0.5845  7 Cu 2.51-2.57
9 Cu 0.5845 0.5845 0.0805  7 Cu 2.51-2.57
10 Cu 0.6670 0.6670 0.6670  6 Cu 2.51-2.54
11 Cu 0.9195 0.4155 0.4155  7 Cu 2.51-2.57
12 Sn 0.0000 0.0000 0.0000  18 Cu 2.95-3.28

Results
* energy relative to the elements: -12.97 kJ/mol of atoms
* total magnetization: 0.00 Bohr magnetons per cell
* mass density: 9.166 g/cm³